Density functional theory data (PBE) for a relaxed structure of Lu4Ge3Mo2N3.

Computed properties:
energy: -7.471 eV per atom

Lattice parameters (Å, degrees): 5.716 5.716 13.679 101.80 101.80 60.16
Element x y z (fractional)
Lu  0.030  0.203  0.098
Lu  0.139  0.298  0.402
Lu  0.203  0.030  0.598
Lu  0.298  0.139  0.902
Lu  0.702  0.861  0.098
Lu  0.797  0.970  0.402
Lu  0.861  0.702  0.598
Lu  0.970  0.797  0.902
Ge  0.142  0.858  0.250
Ge  0.310  0.416  0.750
Ge  0.416  0.310  0.250
Ge  0.584  0.690  0.750
Ge  0.690  0.584  0.250
Ge  0.858  0.142  0.750
Mo  0.372  0.527  0.083
Mo  0.473  0.628  0.417
Mo  0.527  0.372  0.583
Mo  0.628  0.473  0.917
N  0.000  0.500  0.000
N  0.159  0.671  0.500
N  0.329  0.841  0.000
N  0.500  0.000  0.500
N  0.671  0.159  0.000
N  0.841  0.329  0.500